# 1
Below is crystalline LiScBe2 at its relaxed geometry, with properties calculated at the GGA-PBE level.

- E_form (eV/atom) = 0.1823
- distance to the lowest polymorph of the same formula (meV/atom) = 115

Cell: 2.991 3.918 5.223 Å, 90.00 106.24 90.00°
Space group Pm (No. 6)
One atom of each set of equivalent atoms:
Li: 0.000 0.000 0.000
Sc: 0.698 0.500 0.389
Be: 0.304 0.000 0.604
Be: 0.407 0.500 0.815



# 2
Below is crystalline Li2ScBe at its relaxed geometry, with properties calculated at the GGA-PBE level.

- E_form (eV/atom) = 0.1439

Cell: 3.110 3.110 7.163 Å, 90.00 90.00 90.00°
Space group P4mm (No. 99)
One atom of each set of equivalent atoms:
Li: 0.000 0.000 0.000
Li: 0.500 0.500 0.257
Sc: 0.000 0.000 0.587
Be: 0.500 0.500 0.804



# 3
Below is crystalline LiScBe2 at its relaxed geometry, with properties calculated at the GGA-PBE level.

- E_form (eV/atom) = 0.4863
- distance to the lowest polymorph of the same formula (meV/atom) = 419

Cell: 3.966 3.966 15.955 Å, 90.00 90.00 90.00°
Space group I4_1/amd (No. 141, origin choice 2)
One atom of each set of equivalent atoms:
Li: 0.000 0.250 0.375
Sc: 0.000 0.250 0.875
Be: 0.000 0.000 0.500



> Which value of E_form does entry 3 give?

0.4863 eV/atom



> The lowest E_form belongs to which entry?

Li2ScBe